CaAlRu2 | PBE-GGA | relaxed

Crystal system: tetragonal
Raw total energy, eV/atom: -5.766
DFT formation energy, eV/atom: 0.308
Symmetry: I-42d

Structure (extended XYZ):
```
8
Lattice="-3.233 2.686 -1.332 -1.797 -3.305 -2.300 -7.350 -2.614 5.273" Properties=species:S:1:pos:R:3 pbc="T T T"
Ru -3.627 0.233 0.387
Ru -3.821 -2.004 -0.473
Ru -7.652 -2.659 2.269
Ru -9.660 -2.036 1.102
Ca 0.000 0.000 0.000
Ca -6.549 -0.119 1.063
Al -2.515 -0.309 -1.816
Al -5.831 -3.114 0.579
```